The following is a DFT calculation (meta-GGA SCAN) of CdReW at its PBEsol-relaxed geometry.

* density of states at the Fermi level: 3.36 states/eV/cell
* calculated formation energy: 500 meV/atom
* magnetization: 0.0 μB per formula unit
* crystal system: trigonal

abc: 2.8222 2.8222 7.1307
angles: 90.00 90.00 120.00
Space group P3m1 (No. 156)
Asymmetric unit:
Cd 0.0000 0.0000 0.0000 [1 per cell]
Re 0.3333 0.6667 0.6537 [1 per cell]
W 0.6667 0.3333 0.3552 [1 per cell]